Ta2CoMo: relaxed, GGA-PBEsol.

Cell lengths 4.4090, 4.4090, 4.4090 Å; angles 60.00, 60.00, 60.00 degrees
Positions (direct):
Ta: 0.2500 0.2500 0.2500
Ta: 0.7500 0.7500 0.7500
Mo: 0.5000 0.5000 0.5000
Co: 0.0000 0.0000 0.0000

Symmetry: Fm-3m, No. 225
Calculated formation energy: -0.13 eV per atom
Calculated total energy: -11.28 eV per atom
Density of states at the Fermi level: 0.736 states/eV/atom
Energy above the lowest structure with this stoichiometry: 0.55 kcal/mol of atoms